No. 1
## CsCu2PbF8 (GGA-PBE)

Data for crystalline CsCu2PbF8 at its relaxed geometry.

Fermi-level density of states	10.54	states/eV/cell
E_tot	-4.1504	eV/atom
ΔE_f (raw)	-1.840	eV per atom

a b c (Å): 5.8576 5.8576 8.6446
angles (deg): 90.00 90.00 120.00
Space group P-3 (No. 147)
Inequivalent atoms, fractional coordinates:
Cs  0.0000  0.0000  0.0000 [1 per cell]
Cu  0.3333  0.6667  0.7513 [2 per cell]
Pb  0.0000  0.0000  0.5000 [1 per cell]
F  0.0768  0.3273  0.6602 [6 per cell]
F  0.3333  0.6667  0.9624 [2 per cell]



No. 2
## CsCu2PdF8 (GGA-PBE)

Data for crystalline CsCu2PdF8 at its relaxed geometry.

Fermi-level density of states	28.50	states/eV/cell
E_tot	-4.0140	eV/atom
ΔE_f (raw)	-1.580	eV per atom

a b c (Å): 5.8811 5.8811 24.4881
angles (deg): 90.00 90.00 120.00
Space group R-3m (No. 166, hexagonal axes)
Inequivalent atoms, fractional coordinates:
Cs  0.0000  0.0000  0.0000 [3 per cell]
Cu  0.0000  0.0000  0.2462 [6 per cell]
Pd  0.0000  0.0000  0.5000 [3 per cell]
F  0.0000  0.0000  0.3206 [6 per cell]
F  0.0155  0.5078  0.1172 [18 per cell]



No. 3
## CsCu2PdF (GGA-PBE)

Data for crystalline CsCu2PdF at its relaxed geometry.

Fermi-level density of states	2.21	states/eV/cell
E_tot	-2.3454	eV/atom
ΔE_f (raw)	0.877	eV per atom

a b c (Å): 5.4110 5.4110 4.8266
angles (deg): 90.00 90.00 90.00
Space group P4/mmm (No. 123)
Inequivalent atoms, fractional coordinates:
Cs  0.0000  0.0000  0.0000 [1 per cell]
Cu  0.0000  0.5000  0.0000 [2 per cell]
Pd  0.5000  0.5000  0.5000 [1 per cell]
F  0.0000  0.0000  0.5000 [1 per cell]



- Among the records above, which one has the highest Fermi-level density of states?
  CsCu2PdF8